Below is ScAsHPd2 after structural relaxation, with properties calculated at the PBE-GGA level.

Lattice parameters (Å, degrees): 3.9579 3.9579 4.4616 90.00 90.00 90.00
Space group P4/mmm (No. 123)
Symmetry-distinct sites (fractional):
1 Sc 0.0000 0.0000 0.0000 [1 per cell]
2 As 0.5000 0.5000 0.0000 [1 per cell]
3 H 0.0000 0.0000 0.5000 [1 per cell]
4 Pd 0.0000 0.5000 0.5000 [2 per cell]

Computed properties:
Density ... 7.9 g/cm³
Total energy ... -27.799 eV/cell
DOS(E_F) ... 0.557 states/eV/atom


Below is AsHPdSe2 after structural relaxation, with properties calculated at the PBE-GGA level.

Lattice parameters (Å, degrees): 4.9571 4.9571 3.2780 90.00 90.00 90.00
Space group P4/mmm (No. 123)
Symmetry-distinct sites (fractional):
1 As 0.0000 0.0000 0.0000 [1 per cell]
2 H 0.0000 0.0000 0.5000 [1 per cell]
3 Pd 0.5000 0.5000 0.0000 [1 per cell]
4 Se 0.0000 0.5000 0.5000 [2 per cell]

Computed properties:
Density ... 7.0 g/cm³
Total energy ... -17.624 eV/cell
DOS(E_F) ... 0.422 states/eV/atom


Below is AsHPdSe2 after structural relaxation, with properties calculated at the PBE-GGA level.

Lattice parameters (Å, degrees): 5.0772 5.0772 4.7719 90.00 90.00 90.00
Space group P4/mmm (No. 123)
Symmetry-distinct sites (fractional):
1 As 0.0000 0.0000 0.0000 [1 per cell]
2 H 0.5000 0.5000 0.0000 [1 per cell]
3 Pd 0.0000 0.0000 0.5000 [1 per cell]
4 Se 0.0000 0.5000 0.5000 [2 per cell]

Computed properties:
Density ... 4.6 g/cm³
Total energy ... -15.529 eV/cell
DOS(E_F) ... 0.988 states/eV/atom


Below is Si2AsHPd after structural relaxation, with properties calculated at the PBE-GGA level.

Lattice parameters (Å, degrees): 4.6255 4.6255 5.0273 90.00 90.00 90.00
Space group P4/mmm (No. 123)
Symmetry-distinct sites (fractional):
1 Si 0.0000 0.5000 0.0000 [2 per cell]
2 As 0.0000 0.0000 0.5000 [1 per cell]
3 H 0.5000 0.5000 0.5000 [1 per cell]
4 Pd 0.0000 0.0000 0.0000 [1 per cell]

Computed properties:
Density ... 3.7 g/cm³
Total energy ... -18.844 eV/cell
DOS(E_F) ... 0.638 states/eV/atom


Below is Si2AsHPd after structural relaxation, with properties calculated at the PBE-GGA level.

Lattice parameters (Å, degrees): 4.8743 4.8743 3.1078 90.00 90.00 90.00
Space group P4/mmm (No. 123)
Symmetry-distinct sites (fractional):
1 Si 0.0000 0.5000 0.0000 [2 per cell]
2 As 0.0000 0.0000 0.0000 [1 per cell]
3 H 0.0000 0.0000 0.5000 [1 per cell]
4 Pd 0.5000 0.5000 0.5000 [1 per cell]

Computed properties:
Density ... 5.4 g/cm³
Total energy ... -21.841 eV/cell
DOS(E_F) ... 0.457 states/eV/atom


Below is Sm2AsHPd6 after structural relaxation, with properties calculated at the PBE-GGA level.

Lattice parameters (Å, degrees): 5.7440 5.7626 6.8621 65.22 65.44 60.23
Space group P-1 (No. 2)
Symmetry-distinct sites (fractional):
1 Sm 0.2275 0.2288 0.3223 [2 per cell]
2 As 0.5000 0.5000 0.5000 [1 per cell]
3 H 0.0000 0.0000 0.0000 [1 per cell]
4 Pd 0.2263 0.7260 0.8146 [2 per cell]
5 Pd 0.2293 0.2263 0.8060 [2 per cell]
6 Pd 0.2691 0.7765 0.1885 [2 per cell]

Computed properties:
Density ... 9.8 g/cm³
Total energy ... -55.387 eV/cell
DOS(E_F) ... 0.512 states/eV/atom


Below is SmAsHPd2 after structural relaxation, with properties calculated at the PBE-GGA level.

Lattice parameters (Å, degrees): 4.0791 10.7387 7.3852 90.00 90.00 90.00
Space group Cmcm (No. 63)
Symmetry-distinct sites (fractional):
1 Sm 0.0000 0.0602 0.2500 [4 per cell]
2 As 0.0000 0.2238 0.7500 [4 per cell]
3 H 0.0000 0.5000 0.0000 [4 per cell]
4 Pd 0.0000 0.3434 0.0554 [8 per cell]

Computed properties:
Density ... 9.0 g/cm³
Total energy ... -108.012 eV/cell
DOS(E_F) ... 0.353 states/eV/atom


Below is SrAsHPd2 after structural relaxation, with properties calculated at the PBE-GGA level.

Lattice parameters (Å, degrees): 4.0882 11.2274 7.3964 90.00 90.00 90.00
Space group Cmcm (No. 63)
Symmetry-distinct sites (fractional):
1 Sr 0.0000 0.0494 0.2500 [4 per cell]
2 As 0.0000 0.2300 0.7500 [4 per cell]
3 H 0.0000 0.5000 0.0000 [4 per cell]
4 Pd 0.0000 0.3377 0.0543 [8 per cell]

Computed properties:
Density ... 7.4 g/cm³
Total energy ... -94.212 eV/cell
DOS(E_F) ... 0.239 states/eV/atom


Below is Sr2AsHPd after structural relaxation, with properties calculated at the PBE-GGA level.

Lattice parameters (Å, degrees): 5.3966 5.3966 3.7455 90.00 90.00 90.00
Space group P4/mmm (No. 123)
Symmetry-distinct sites (fractional):
1 Sr 0.0000 0.5000 0.0000 [2 per cell]
2 As 0.0000 0.0000 0.5000 [1 per cell]
3 H 0.5000 0.5000 0.0000 [1 per cell]
4 Pd 0.5000 0.5000 0.5000 [1 per cell]

Computed properties:
Density ... 5.4 g/cm³
Total energy ... -20.300 eV/cell
DOS(E_F) ... 0.117 states/eV/atom


Below is Sr2AsHPd after structural relaxation, with properties calculated at the PBE-GGA level.

Lattice parameters (Å, degrees): 6.5434 4.4335 8.4971 90.00 108.21 90.00
Space group P2_1/m (No. 11)
Symmetry-distinct sites (fractional):
1 Sr 0.2216 0.2500 0.4160 [2 per cell]
2 Sr 0.2510 0.2500 0.9550 [2 per cell]
3 As 0.3318 0.7500 0.7044 [2 per cell]
4 H 0.1437 0.7500 0.1510 [2 per cell]
5 Pd 0.4164 0.7500 0.2334 [2 per cell]

Computed properties:
Density ... 5.1 g/cm³
Total energy ... -41.572 eV/cell
DOS(E_F) ... 0.004 states/eV/atom


Below is Te2AsH2Pd7 after structural relaxation, with properties calculated at the PBE-GGA level.

Lattice parameters (Å, degrees): 5.7312 5.7506 11.4036 90.00 104.39 90.00
Space group C2/m (No. 12)
Symmetry-distinct sites (fractional):
1 Te 0.1845 0.0000 0.3844 [4 per cell]
2 As 0.0000 0.0000 0.0000 [2 per cell]
3 H 0.0858 0.5000 0.1746 [4 per cell]
4 Pd 0.0000 0.5000 0.0000 [2 per cell]
5 Pd 0.1661 0.2506 0.8216 [8 per cell]
6 Pd 0.1735 0.5000 0.3670 [4 per cell]

Computed properties:
Density ... 9.8 g/cm³
Total energy ... -112.072 eV/cell
DOS(E_F) ... 0.586 states/eV/atom


Below is ThAsH2Pd2 after structural relaxation, with properties calculated at the PBE-GGA level.

Lattice parameters (Å, degrees): 5.9515 10.5552 5.6491 90.00 90.00 90.00
Space group Cmcm (No. 63)
Symmetry-distinct sites (fractional):
1 Th 0.0000 0.2321 0.2500 [4 per cell]
2 As 0.0000 0.3352 0.7500 [4 per cell]
3 H 0.2049 0.0971 0.7500 [8 per cell]
4 Pd 0.2428 0.0000 0.0000 [8 per cell]

Computed properties:
Density ... 9.8 g/cm³
Total energy ... -130.817 eV/cell
DOS(E_F) ... 0.425 states/eV/atom


Below is Ti2AsHPd after structural relaxation, with properties calculated at the PBE-GGA level.

Lattice parameters (Å, degrees): 4.0405 4.0405 3.9586 90.00 90.00 90.00
Space group P4/mmm (No. 123)
Symmetry-distinct sites (fractional):
1 Ti 0.0000 0.5000 0.0000 [2 per cell]
2 As 0.0000 0.0000 0.5000 [1 per cell]
3 H 0.5000 0.5000 0.0000 [1 per cell]
4 Pd 0.5000 0.5000 0.5000 [1 per cell]

Computed properties:
Density ... 7.1 g/cm³
Total energy ... -31.687 eV/cell
DOS(E_F) ... 0.540 states/eV/atom


Below is UAsHPd after structural relaxation, with properties calculated at the PBE-GGA level.

Lattice parameters (Å, degrees): 4.3179 4.3179 3.8719 90.00 90.00 120.00
Space group P-6m2 (No. 187)
Symmetry-distinct sites (fractional):
1 U 0.0000 0.0000 0.0000 [1 per cell]
2 As 0.3333 0.6667 0.5000 [1 per cell]
3 H 0.6667 0.3333 0.0000 [1 per cell]
4 Pd 0.6667 0.3333 0.5000 [1 per cell]

Computed properties:
Density ... 11.2 g/cm³
Total energy ... -26.496 eV/cell
DOS(E_F) ... 1.764 states/eV/atom


Below is U3As2H4Pd2 after structural relaxation, with properties calculated at the PBE-GGA level.

Lattice parameters (Å, degrees): 3.9439 3.9439 20.3387 90.00 90.00 90.00
Space group I4/mmm (No. 139)
Symmetry-distinct sites (fractional):
1 U 0.0000 0.0000 0.0000 [2 per cell]
2 U 0.0000 0.0000 0.1608 [4 per cell]
3 As 0.0000 0.0000 0.3033 [4 per cell]
4 H 0.0000 0.5000 0.0779 [8 per cell]
5 Pd 0.0000 0.0000 0.4317 [4 per cell]

Computed properties:
Density ... 11.3 g/cm³
Total energy ... -141.561 eV/cell
DOS(E_F) ... 1.480 states/eV/atom


Below is VAs2HPd after structural relaxation, with properties calculated at the PBE-GGA level.

Lattice parameters (Å, degrees): 5.0103 5.0103 3.1588 90.00 90.00 90.00
Space group P4/mmm (No. 123)
Symmetry-distinct sites (fractional):
1 V 0.0000 0.0000 0.0000 [1 per cell]
2 As 0.0000 0.5000 0.5000 [2 per cell]
3 H 0.5000 0.5000 0.0000 [1 per cell]
4 Pd 0.5000 0.5000 0.5000 [1 per cell]

Computed properties:
Density ... 6.5 g/cm³
Total energy ... -25.717 eV/cell
DOS(E_F) ... 0.931 states/eV/atom


Below is PmAsH after structural relaxation, with properties calculated at the PBE-GGA level.

Lattice parameters (Å, degrees): 6.8279 3.9413 10.0017 90.00 103.22 90.00
Space group C2 (No. 5)
Symmetry-distinct sites (fractional):
1 Pm 0.1033 0.0000 0.3100 [4 per cell]
2 As 0.0000 0.5003 0.5000 [2 per cell]
3 As 0.0000 0.9990 0.0000 [2 per cell]
4 H 0.2435 0.0006 0.7285 [4 per cell]

Computed properties:
Density ... 5.6 g/cm³
Total energy ... -57.609 eV/cell
DOS(E_F) ... 0.352 states/eV/atom


Below is Pm2AsH after structural relaxation, with properties calculated at the PBE-GGA level.

Lattice parameters (Å, degrees): 3.9298 3.9298 20.4827 90.00 90.00 120.00
Space group R3m (No. 160, hexagonal axes)
Symmetry-distinct sites (fractional):
1 Pm 0.0000 0.0000 0.0000 [3 per cell]
2 Pm 0.0000 0.0000 0.1636 [3 per cell]
3 As 0.0000 0.0000 0.5808 [3 per cell]
4 H 0.0000 0.0000 0.4028 [3 per cell]

Computed properties:
Density ... 6.7 g/cm³
Total energy ... -61.478 eV/cell
DOS(E_F) ... 0.312 states/eV/atom


Below is PmAsH after structural relaxation, with properties calculated at the PBE-GGA level.

Lattice parameters (Å, degrees): 4.0943 4.0943 7.2225 90.00 90.00 90.00
Space group I4mm (No. 107)
Symmetry-distinct sites (fractional):
1 Pm 0.0000 0.0000 0.0000 [2 per cell]
2 As 0.0000 0.0000 0.5932 [2 per cell]
3 H 0.0000 0.0000 0.3380 [2 per cell]

Computed properties:
Density ... 6.1 g/cm³
Total energy ... -28.379 eV/cell
DOS(E_F) ... 0.407 states/eV/atom


Below is PmAs2H after structural relaxation, with properties calculated at the PBE-GGA level.

Lattice parameters (Å, degrees): 4.6523 4.6523 17.9781 90.00 90.00 120.00
Space group R-3m (No. 166, hexagonal axes)
Symmetry-distinct sites (fractional):
1 Pm 0.0000 0.0000 0.0000 [3 per cell]
2 As 0.0000 0.0000 0.4040 [6 per cell]
3 H 0.0000 0.0000 0.5000 [3 per cell]

Computed properties:
Density ... 4.4 g/cm³
Total energy ... -53.995 eV/cell
DOS(E_F) ... 0.875 states/eV/atom


Below is Pm2AsH after structural relaxation, with properties calculated at the PBE-GGA level.

Lattice parameters (Å, degrees): 4.1936 4.1936 22.5121 90.00 90.00 120.00
Space group R-3m (No. 166, hexagonal axes)
Symmetry-distinct sites (fractional):
1 Pm 0.0000 0.0000 0.0943 [6 per cell]
2 As 0.0000 0.0000 0.5000 [3 per cell]
3 H 0.0000 0.0000 0.0000 [3 per cell]

Computed properties:
Density ... 5.3 g/cm³
Total energy ... -60.556 eV/cell
DOS(E_F) ... 0.926 states/eV/atom


Below is PmAsH after structural relaxation, with properties calculated at the PBE-GGA level.

Lattice parameters (Å, degrees): 6.5363 6.5363 6.5363 90.00 90.00 90.00
Space group F-43m (No. 216)
Symmetry-distinct sites (fractional):
1 Pm 0.0000 0.0000 0.0000 [4 per cell]
2 As 0.2500 0.2500 0.2500 [4 per cell]
3 H 0.2500 0.2500 0.7500 [4 per cell]

Computed properties:
Density ... 5.3 g/cm³
Total energy ... -54.829 eV/cell
DOS(E_F) ... 0.721 states/eV/atom


Below is Pm2AsH after structural relaxation, with properties calculated at the PBE-GGA level.

Lattice parameters (Å, degrees): 4.0783 4.0783 6.5630 90.00 90.00 120.00
Space group P3m1 (No. 156)
Symmetry-distinct sites (fractional):
1 Pm 0.0000 0.0000 0.0000 [1 per cell]
2 Pm 0.3333 0.6667 0.5295 [1 per cell]
3 As 0.6667 0.3333 0.2691 [1 per cell]
4 H 0.3333 0.6667 0.8860 [1 per cell]

Computed properties:
Density ... 6.4 g/cm³
Total energy ... -21.207 eV/cell
DOS(E_F) ... 0.672 states/eV/atom


Below is Pm2As2H after structural relaxation, with properties calculated at the PBE-GGA level.

Lattice parameters (Å, degrees): 4.3201 14.7816 6.9671 90.00 90.00 90.00
Space group Cmc2_1 (No. 36)
Symmetry-distinct sites (fractional):
1 Pm 0.0000 0.0550 0.0000 [4 per cell]
2 Pm 0.0000 0.3332 0.8942 [4 per cell]
3 As 0.0000 0.3025 0.4624 [4 per cell]
4 As 0.0000 0.4619 0.2174 [4 per cell]
5 H 0.0000 0.0967 0.3396 [4 per cell]

Computed properties:
Density ... 6.6 g/cm³
Total energy ... -108.852 eV/cell
DOS(E_F) ... 0.564 states/eV/atom


Below is Pm4As3H4 after structural relaxation, with properties calculated at the PBE-GGA level.

Lattice parameters (Å, degrees): 7.2803 7.2803 7.2803 90.00 90.00 90.00
Space group I-43m (No. 217)
Symmetry-distinct sites (fractional):
1 Pm 0.1873 0.1873 0.8127 [8 per cell]
2 As 0.0000 0.0000 0.5000 [6 per cell]
3 H 0.1218 0.1218 0.1218 [8 per cell]

Computed properties:
Density ... 7.0 g/cm³
Total energy ... -112.857 eV/cell
DOS(E_F) ... 0.360 states/eV/atom


Below is Pm4As2H after structural relaxation, with properties calculated at the PBE-GGA level.

Lattice parameters (Å, degrees): 4.4310 4.4310 16.6673 90.00 90.00 90.00
Space group I4/mmm (No. 139)
Symmetry-distinct sites (fractional):
1 Pm 0.0000 0.0000 0.1800 [4 per cell]
2 Pm 0.0000 0.5000 0.0000 [4 per cell]
3 As 0.0000 0.0000 0.3629 [4 per cell]
4 H 0.0000 0.0000 0.0000 [2 per cell]

Computed properties:
Density ... 7.4 g/cm³
Total energy ... -75.761 eV/cell
DOS(E_F) ... 1.002 states/eV/atom